*one*
Compound: Li6Mg12Zn
Source: Alexandria
Functional: GGA-PBE
Structure: optimized geometry

abc: 11.6870 11.6870 10.5920
angles: 90.00 90.00 120.00
Space group R-3m (No. 166, hexagonal axes)
Unique sites:
Li (0.0000, 0.2525, 0.0000) x18
Mg (0.0483, 0.5241, 0.1273) x18
Mg (0.0885, 0.1769, 0.7444) x18
Zn (0.0000, 0.0000, 0.5000) x3

---

*two*
Compound: Li6Mg12Zn
Source: Alexandria
Functional: GGA-PBE
Structure: optimized geometry

abc: 10.4018 10.4018 12.8191
angles: 90.00 90.00 120.00
Space group R-3 (No. 148, hexagonal axes)
Unique sites:
Li (0.0351, 0.5964, 0.2025) x18
Mg (0.0287, 0.8445, 0.3182) x18
Mg (0.0614, 0.2138, 0.9111) x18
Zn (0.0000, 0.0000, 0.5000) x3

---

The structure with the greatest stability is *two*.